# 1
First-principles (PBE) data for a relaxed TiFeH2 crystal, as listed in Alexandria via LeMat-Bulk.

a b c (Å): 4.641 4.641 2.783
angles (deg): 90.00 90.00 97.66
Atoms (fractional coordinates):
Ti (0.217, 0.783, 0.000)
Ti (0.783, 0.217, 0.000)
Fe (0.294, 0.294, 0.500)
Fe (0.706, 0.706, 0.500)
H (0.000, 0.000, 0.500)
H (0.000, 0.500, 0.500)
H (0.500, 0.000, 0.500)
H (0.500, 0.500, 0.000)

The value obtained for the calculated total energy is -6.0571 eV per atom. The energy above the most stable polymorph in this dataset comes out at 0.0 kJ/mol of formula units.


# 2
First-principles (PBE) data for a relaxed Ni5SnS crystal, as listed in Alexandria via LeMat-Bulk.

a b c (Å): 3.718 3.718 6.378
angles (deg): 90.00 90.00 90.00
Atoms (fractional coordinates):
Ni (0.000, 0.000, 0.000)
Ni (0.000, 0.500, 0.299)
Ni (0.000, 0.500, 0.701)
Ni (0.500, 0.000, 0.299)
Ni (0.500, 0.000, 0.701)
Sn (0.500, 0.500, 0.000)
S (0.000, 0.000, 0.500)

The value obtained for the calculated total energy is -5.4965 eV per atom. As for the formation energy (no corrections): -0.206 eV per atom.


# 3
First-principles (PBE) data for a relaxed V2H4Rh crystal, as listed in Alexandria via LeMat-Bulk.

a b c (Å): 5.357 5.357 5.344
angles (deg): 119.83 119.83 90.37
Atoms (fractional coordinates):
V (0.000, 0.000, 0.000)
V (0.000, 0.000, 0.500)
V (0.000, 0.500, 0.000)
V (0.500, 0.000, 0.500)
H (0.225, 0.242, 0.983)
H (0.240, 0.759, 0.483)
H (0.241, 0.760, 0.017)
H (0.242, 0.225, 0.483)
H (0.758, 0.775, 0.517)
H (0.759, 0.240, 0.983)
H (0.760, 0.241, 0.517)
H (0.775, 0.758, 0.017)
Rh (0.376, 0.624, 0.750)
Rh (0.624, 0.376, 0.250)

The value obtained for the calculated total energy is -5.6626 eV per atom.